# 1
Entry from the Alexandria database: a relaxed TaW3 crystal (PBE).

```
TaW3
1.0
-3.221 5.393 -1.375
-1.956 0.388 6.106
5.203 3.477 1.447
W Ta
12 4
direct
0.249 0.749 0.251
0.751 0.749 0.251
0.001 0.001 0.499
0.751 0.251 0.251
0.249 0.251 0.749
0.499 0.499 0.001
0.249 0.251 0.251
0.001 0.499 0.499
0.499 0.001 0.499
0.751 0.251 0.749
0.001 0.499 0.001
0.249 0.749 0.749
0.002 0.002 0.002
0.499 0.001 0.001
0.498 0.498 0.498
0.751 0.748 0.748
```

Calculated values
Calculated volume in Å³ per cell: 265
Space group: Cm, No. 8
Final energy in eV/cell: -204.12
Energy of formation from the pure elements in eV per atom: -0.08
Calculated density in g cm⁻³: 18.3



# 2
Entry from the Alexandria database: a relaxed TaW3 crystal (PBE).

```
TaW3
1.0
-0.740 -1.845 -1.960
4.354 -1.102 -0.608
-0.675 -4.327 3.007
Ta W
1 3
direct
0.000 0.000 0.000
0.746 0.500 0.749
0.500 0.000 0.500
0.254 0.500 0.251
```

Calculated values
Calculated volume in Å³ per cell: 66
Space group: P2/m, No. 10
Final energy in eV/cell: -51.05
Energy of formation from the pure elements in eV per atom: -0.08
Calculated density in g cm⁻³: 18.4



# 3
Entry from the Alexandria database: a relaxed TaW2 crystal (PBE).

```
TaW2
1.0
6.244 0.000 0.000
0.000 6.244 0.000
0.000 0.000 6.244
W Ta
8 4
direct
0.878 0.122 0.622
0.378 0.378 0.378
0.378 0.122 0.878
0.878 0.378 0.122
0.622 0.878 0.122
0.122 0.622 0.878
0.122 0.878 0.378
0.622 0.622 0.622
0.000 0.500 0.500
0.500 0.500 0.000
0.500 0.000 0.500
0.000 0.000 0.000
```

Calculated values
Calculated volume in Å³ per cell: 243
Space group: Pa-3, No. 205
Final energy in eV/cell: -129.79
Energy of formation from the pure elements in eV per atom: 1.77
Calculated density in g cm⁻³: 15.0



# 4
Entry from the Alexandria database: a relaxed TaW2 crystal (PBE).

```
TaW2
1.0
1.028 1.124 4.993
-3.241 3.181 -2.573
-2.363 -4.654 0.067
W Ta
4 2
direct
0.153 0.347 0.500
0.347 0.847 0.194
0.653 0.153 0.806
0.847 0.653 0.500
0.750 0.750 0.000
0.250 0.250 0.000
```

Calculated values
Calculated volume in Å³ per cell: 108
Space group: I4/mcm, No. 140
Final energy in eV/cell: -70.71
Energy of formation from the pure elements in eV per atom: 0.80
Calculated density in g cm⁻³: 16.9



# 5
Entry from the Alexandria database: a relaxed Ta4W crystal (PBE).

```
Ta4W
1.0
4.680 -0.002 -0.960
-2.058 4.575 -1.123
0.255 0.292 8.675
Ta W
8 2
direct
0.290 0.057 0.598
0.850 0.249 0.848
0.150 0.751 0.152
0.192 0.460 0.402
0.710 0.943 0.402
0.498 0.599 0.848
0.502 0.401 0.152
0.808 0.540 0.598
0.810 0.060 0.121
0.190 0.940 0.879
```

Calculated values
Calculated volume in Å³ per cell: 189
Space group: C2/c, No. 15
Final energy in eV/cell: -117.25
Energy above the most stable polymorph in this dataset in eV/atom: 0.400
Energy of formation from the pure elements in eV per atom: 0.35
Calculated density in g cm⁻³: 16.0



# 6
Entry from the Alexandria database: a relaxed TaW5 crystal (PBE).

```
TaW5
1.0
2.696 0.000 0.000
0.000 2.696 0.000
0.000 0.000 13.875
W Ta
5 1
direct
0.000 0.000 0.500
0.000 0.000 0.830
0.000 0.000 0.170
0.500 0.500 0.664
0.500 0.500 0.336
0.500 0.500 0.000
```

Calculated values
Calculated volume in Å³ per cell: 101
Space group: P4/mmm, No. 123
Final energy in eV/cell: -74.69
Energy above the most stable polymorph in this dataset in eV/atom: 0.403
Energy of formation from the pure elements in eV per atom: 0.32
Calculated density in g cm⁻³: 18.1



# 7
Entry from the Alexandria database: a relaxed TaW2 crystal (PBE).

```
TaW2
1.0
-5.291 -0.354 -0.298
-2.655 -3.052 3.441
-0.753 6.720 5.379
W Ta
8 4
direct
0.000 0.000 0.000
0.170 0.659 0.250
0.341 0.830 0.750
0.830 0.341 0.750
0.659 0.170 0.250
0.000 0.000 0.500
0.830 0.830 0.750
0.170 0.170 0.250
0.333 0.333 0.557
0.333 0.333 0.943
0.667 0.667 0.443
0.667 0.667 0.057
```

Calculated values
Calculated volume in Å³ per cell: 211
Space group: P6_3/mmc, No. 194
Final energy in eV/cell: -150.09
Energy of formation from the pure elements in eV per atom: 0.08
Calculated density in g cm⁻³: 17.3



# 8
Entry from the Alexandria database: a relaxed Ta3W4 crystal (PBE).

```
Ta3W4
1.0
-1.073 2.329 1.947
-8.906 -0.039 -7.523
-1.863 -2.136 1.528
Ta W
3 4
direct
0.712 0.424 0.288
0.288 0.576 0.712
0.000 0.000 0.000
0.140 0.280 0.860
0.572 0.144 0.428
0.428 0.856 0.572
0.860 0.720 0.140
```

Calculated values
Calculated volume in Å³ per cell: 119
Space group: I4/mmm, No. 139
Final energy in eV/cell: -88.04
Energy above the most stable polymorph in this dataset in eV/atom: 0.000
Energy of formation from the pure elements in eV per atom: -0.10
Calculated density in g cm⁻³: 17.9



# 9
Entry from the Alexandria database: a relaxed TaW2 crystal (PBE).

```
TaW2
1.0
2.797 -0.003 0.000
-0.952 2.630 0.000
-0.922 -1.313 6.810
Ta W
1 2
direct
0.000 0.000 0.000
0.331 0.331 0.662
0.669 0.669 0.338
```

Calculated values
Calculated volume in Å³ per cell: 50
Space group: Fmmm, No. 69
Final energy in eV/cell: -38.00
Energy of formation from the pure elements in eV per atom: -0.08
Calculated density in g cm⁻³: 18.2



# 10
Entry from the Alexandria database: a relaxed TaW3 crystal (PBE).

```
TaW3
1.0
3.682 -3.853 0.000
3.682 3.853 0.000
0.000 0.000 5.052
W Ta
6 2
direct
0.418 0.957 0.250
0.067 0.933 0.750
0.957 0.418 0.750
0.043 0.582 0.250
0.582 0.043 0.750
0.933 0.067 0.250
0.449 0.551 0.750
0.551 0.449 0.250
```

Calculated values
Calculated volume in Å³ per cell: 143
Space group: Cmcm, No. 63
Final energy in eV/cell: -94.96
Energy of formation from the pure elements in eV per atom: 0.81
Calculated density in g cm⁻³: 17.0



# 11
Entry from the Alexandria database: a relaxed Ta4W3 crystal (PBE).

```
Ta4W3
1.0
4.586 0.000 0.000
-2.293 3.975 -0.079
0.000 -2.504 6.643
Ta W
4 3
direct
0.786 0.572 0.357
0.070 0.141 0.211
0.930 0.859 0.789
0.214 0.428 0.643
0.500 0.000 0.500
0.357 0.715 0.072
0.643 0.285 0.928
```

Calculated values
Calculated volume in Å³ per cell: 120
Space group: C2/m, No. 12
Final energy in eV/cell: -86.77
Energy above the most stable polymorph in this dataset in eV/atom: 0.011
Energy of formation from the pure elements in eV per atom: -0.07
Calculated density in g cm⁻³: 17.6



# 12
Entry from the Alexandria database: a relaxed TaW3 crystal (PBE).

```
TaW3
1.0
-3.211 4.326 1.342
-5.172 -0.916 -1.799
-1.025 -1.989 3.959
Ta W
2 6
direct
0.625 0.625 0.750
0.375 0.375 0.250
0.122 0.628 0.750
0.125 0.125 0.750
0.372 0.878 0.250
0.875 0.875 0.250
0.878 0.372 0.250
0.628 0.122 0.750
```

Calculated values
Calculated volume in Å³ per cell: 132
Space group: Cmcm, No. 63
Final energy in eV/cell: -102.24
Energy of formation from the pure elements in eV per atom: -0.10
Calculated density in g cm⁻³: 18.4



# 13
Entry from the Alexandria database: a relaxed Ta4W3 crystal (PBE).

```
Ta4W3
1.0
-0.296 1.622 -2.778
-1.964 -4.971 -0.814
-6.145 3.091 2.460
Ta W
4 3
direct
0.430 0.861 0.281
0.571 0.141 0.713
0.290 0.579 0.866
0.851 0.702 0.568
0.143 0.286 0.425
0.711 0.421 0.145
0.004 0.009 0.001
```

Calculated values
Calculated volume in Å³ per cell: 121
Space group: Cm, No. 8
Final energy in eV/cell: -86.85
Energy above the most stable polymorph in this dataset in eV/atom: 0.000
Energy of formation from the pure elements in eV per atom: -0.08
Calculated density in g cm⁻³: 17.6



# 14
Entry from the Alexandria database: a relaxed TaW2 crystal (PBE).

```
TaW2
1.0
-3.126 -0.746 -0.023
0.709 -3.000 0.908
0.858 3.199 4.216
W Ta
2 1
direct
0.330 0.330 0.660
0.670 0.670 0.340
0.000 0.000 0.000
```

Calculated values
Calculated volume in Å³ per cell: 50
Space group: I4/mmm, No. 139
Final energy in eV/cell: -38.11
Energy of formation from the pure elements in eV per atom: -0.12
Calculated density in g cm⁻³: 18.2



# 15
Entry from the Alexandria database: a relaxed Ta4W5 crystal (PBE).

```
Ta4W5
1.0
8.274 0.000 0.000
4.137 7.165 0.000
0.000 0.000 5.277
Ta W
8 10
direct
0.000 0.641 0.250
0.000 0.000 0.500
0.000 0.359 0.750
0.641 0.000 0.750
0.359 0.000 0.250
0.359 0.641 0.750
0.000 0.000 0.000
0.641 0.359 0.250
0.000 0.691 0.750
0.309 0.691 0.250
0.667 0.667 0.500
0.667 0.667 0.000
0.691 0.000 0.250
0.691 0.309 0.750
0.333 0.333 0.500
0.309 0.000 0.750
0.000 0.309 0.250
0.333 0.333 0.000
```

Calculated values
Calculated volume in Å³ per cell: 313
Space group: P6_3/mcm, No. 193
Final energy in eV/cell: -218.27
Energy above the most stable polymorph in this dataset in eV/atom: 0.420
Energy of formation from the pure elements in eV per atom: 0.34
Calculated density in g cm⁻³: 17.4



# 16
Entry from the Alexandria database: a relaxed TaW5 crystal (PBE).

```
TaW5
1.0
3.202 0.000 0.000
1.601 5.065 -0.002
0.000 2.035 6.083
W Ta
5 1
direct
0.641 0.719 0.281
0.304 0.392 0.113
0.640 0.719 0.776
0.972 0.056 0.444
0.304 0.392 0.608
0.972 0.056 0.944
```

Calculated values
Calculated volume in Å³ per cell: 99
Space group: C2/m, No. 12
Final energy in eV/cell: -77.09
Energy above the most stable polymorph in this dataset in eV/atom: 0.002
Energy of formation from the pure elements in eV per atom: -0.08
Calculated density in g cm⁻³: 18.5



# 17
Entry from the Alexandria database: a relaxed Ta8W crystal (PBE).

```
Ta8W
1.0
-4.153 4.153 2.388
4.153 -4.153 2.388
4.153 4.153 -2.388
Ta W
8 1
direct
0.000 0.670 0.670
0.666 0.666 0.331
0.000 0.330 0.330
0.666 0.334 0.000
0.670 0.000 0.670
0.334 0.666 0.000
0.330 0.000 0.330
0.334 0.334 0.669
0.000 0.000 0.000
```

Calculated values
Calculated volume in Å³ per cell: 165
Space group: I4/mmm, No. 139
Final energy in eV/cell: -106.22
Energy above the most stable polymorph in this dataset in eV/atom: 0.195
Energy of formation from the pure elements in eV per atom: 0.17
Calculated density in g cm⁻³: 16.4



# 18
Entry from the Alexandria database: a relaxed Ta5W crystal (PBE).

```
Ta5W
1.0
3.274 0.000 0.000
-1.637 5.222 -0.006
0.000 2.076 6.259
W Ta
1 5
direct
0.694 0.389 0.111
0.030 0.059 0.438
0.359 0.718 0.784
0.033 0.066 0.947
0.356 0.712 0.275
0.694 0.389 0.611
```

Calculated values
Calculated volume in Å³ per cell: 107
Space group: C2/m, No. 12
Final energy in eV/cell: -72.43
Energy above the most stable polymorph in this dataset in eV/atom: 0.000
Energy of formation from the pure elements in eV per atom: -0.04
Calculated density in g cm⁻³: 16.9



# 19
Entry from the Alexandria database: a relaxed TaW2 crystal (PBE).

```
TaW2
1.0
1.319 2.515 5.916
-4.310 -4.914 -0.590
3.208 -2.875 0.507
W Ta
6 3
direct
0.000 0.522 0.500
0.522 0.000 0.500
0.478 0.478 0.500
0.238 0.000 0.000
0.762 0.762 0.000
0.000 0.238 0.000
0.667 0.333 0.000
0.000 0.000 0.500
0.333 0.667 0.000
```

Calculated values
Calculated volume in Å³ per cell: 162
Space group: P-62m, No. 189
Final energy in eV/cell: -106.42
Energy of formation from the pure elements in eV per atom: 0.76
Calculated density in g cm⁻³: 16.9



# 20
Entry from the Alexandria database: a relaxed TaW3 crystal (PBE).

```
TaW3
1.0
2.788 0.000 0.000
0.929 5.233 0.000
-0.929 2.616 4.532
Ta W
1 3
direct
0.000 0.000 0.000
0.500 0.000 0.500
0.500 0.500 0.000
0.000 0.500 0.500
```

Calculated values
Calculated volume in Å³ per cell: 66
Space group: R-3m, No. 166
Final energy in eV/cell: -51.07
Energy of formation from the pure elements in eV per atom: -0.09
Calculated density in g cm⁻³: 18.4



# 21
Entry from the Alexandria database: a relaxed TaW2 crystal (PBE).

```
TaW2
1.0
4.534 0.000 0.000
-2.267 3.926 0.000
0.000 0.000 2.816
Ta W
1 2
direct
0.000 0.000 0.000
0.667 0.333 0.659
0.333 0.667 0.341
```

Calculated values
Calculated volume in Å³ per cell: 50
Space group: P-3m1, No. 164
Final energy in eV/cell: -38.02
Energy of formation from the pure elements in eV per atom: -0.09
Calculated density in g cm⁻³: 18.2



# 22
Entry from the Alexandria database: a relaxed TaW3 crystal (PBE).

```
TaW3
1.0
4.546 0.001 0.000
-0.001 4.546 0.000
0.000 0.000 3.205
W Ta
3 1
direct
0.500 0.000 0.500
0.000 0.500 0.500
0.500 0.500 0.000
0.000 0.000 0.000
```

Calculated values
Calculated volume in Å³ per cell: 66
Space group: P4/mmm, No. 123
Final energy in eV/cell: -51.09
Energy of formation from the pure elements in eV per atom: -0.09
Calculated density in g cm⁻³: 18.4



# 23
Entry from the Alexandria database: a relaxed TaW3 crystal (PBE).

```
TaW3
1.0
-2.284 -0.730 -1.446
1.328 -1.899 1.572
-5.754 2.468 7.845
W Ta
3 1
direct
0.333 0.667 0.255
0.000 0.000 0.500
0.333 0.667 0.745
0.000 0.000 0.000
```

Calculated values
Calculated volume in Å³ per cell: 68
Space group: P-6m2, No. 187
Final energy in eV/cell: -48.90
Energy of formation from the pure elements in eV per atom: 0.45
Calculated density in g cm⁻³: 17.8



# 24
Entry from the Alexandria database: a relaxed TaW2 crystal (PBE).

```
TaW2
1.0
-3.331 -0.988 2.527
2.415 -2.904 2.048
0.926 2.252 2.101
W Ta
2 1
direct
0.000 0.500 0.500
0.500 0.000 0.500
0.000 0.000 0.000
```

Calculated values
Calculated volume in Å³ per cell: 59
Space group: P4/mmm, No. 123
Final energy in eV/cell: -34.18
Energy of formation from the pure elements in eV per atom: 1.19
Calculated density in g cm⁻³: 15.3



# 25
Entry from the Alexandria database: a relaxed TaW3 crystal (PBE).

```
TaW3
1.0
2.799 -4.849 0.000
2.799 4.849 0.000
0.000 0.000 5.031
W Ta
6 2
direct
0.834 0.669 0.250
0.166 0.331 0.750
0.669 0.834 0.750
0.166 0.834 0.750
0.834 0.166 0.250
0.331 0.166 0.250
0.333 0.667 0.250
0.667 0.333 0.750
```

Calculated values
Calculated volume in Å³ per cell: 137
Space group: P6_3/mmc, No. 194
Final energy in eV/cell: -98.03
Energy of formation from the pure elements in eV per atom: 0.42
Calculated density in g cm⁻³: 17.8